# 1
DFT (PBE-GGA) results for a relaxed structure of Y4BiPSe2.

Unit cell a=7.1791 b=4.1588 c=7.3374 alpha=90.00 beta=109.38 gamma=90.00
Last column: nearest neighbours and their distance in Å.
Positions (direct):
Y: 0.2389 0.0000 0.2267  2 P 2.85, 3 Se 2.89-3.06, 1 Bi 3.04
Y: 0.2527 0.5000 0.7752  1 P 2.83, 3 Se 2.87-3.10, 2 Bi 3.04
Y: 0.7473 0.5000 0.2248  1 P 2.83, 3 Se 2.87-3.10, 2 Bi 3.04
Y: 0.7611 0.0000 0.7733  2 P 2.85, 3 Se 2.89-3.06, 1 Bi 3.04
Bi: 0.0000 0.0000 0.5000  6 Y 3.04
P: 0.0000 0.5000 0.0000  6 Y 2.83-2.85
Se: 0.5000 0.0000 0.0000  6 Y 2.87-2.89
Se: 0.5000 0.5000 0.5000  6 Y 3.06-3.10

N(E_F)   0.438 states/eV per atom
Formation energy from raw total energies   -1.511 eV per atom
Energy   -6.776 eV/atom

***

# 2
DFT (PBE-GGA) results for a relaxed structure of Si2BiTeP.

Unit cell a=5.3921 b=5.3921 c=5.8039 alpha=90.00 beta=90.00 gamma=90.00
Last column: nearest neighbours and their distance in Å.
Positions (direct):
Si: 0.0000 0.5000 0.0000  2 Bi 2.70
Si: 0.5000 0.0000 0.0000  2 Bi 2.70
Bi: 0.0000 0.0000 0.0000  4 Si 2.70, 2 Te 2.90
Te: 0.0000 0.0000 0.5000  2 Bi 2.90
P: 0.5000 0.5000 0.5000  4 Te 3.81, 8 Si 3.96

N(E_F)   0.664 states/eV per atom
Formation energy from raw total energies   1.629 eV per atom
Energy   -3.027 eV/atom

***

# 3
DFT (PBE-GGA) results for a relaxed structure of Th4SiBi2P.

Unit cell a=7.4717 b=4.3298 c=7.8458 alpha=90.00 beta=108.64 gamma=90.00
Last column: nearest neighbours and their distance in Å.
Positions (direct):
Th: 0.2352 0.0000 0.2112  2 P 2.94, 1 Si 2.96, 1 Bi 3.28
Th: 0.2604 0.5000 0.7861  1 P 2.95, 2 Si 2.96, 3 Bi 3.27-3.29
Th: 0.7396 0.5000 0.2139  1 P 2.95, 2 Si 2.96, 3 Bi 3.27-3.29
Th: 0.7648 0.0000 0.7888  2 P 2.94, 1 Si 2.96, 1 Bi 3.28
Si: 0.5000 0.0000 0.0000  6 Th 2.96
Bi: 0.0000 0.0000 0.5000  6 Th 3.27-3.28
Bi: 0.5000 0.5000 0.5000  6 Th 3.29-3.30
P: 0.0000 0.5000 0.0000  6 Th 2.94-2.95

N(E_F)   0.517 states/eV per atom
Formation energy from raw total energies   -0.877 eV per atom
Energy   -6.911 eV/atom

***

# 4
DFT (PBE-GGA) results for a relaxed structure of Sm3BiP.

Unit cell a=9.5051 b=9.5051 c=6.8530 alpha=94.91 beta=94.91 gamma=98.82
Last column: nearest neighbours and their distance in Å.
Positions (direct):
Sm: 0.0415 0.7615 0.9412  1 P 2.85
Sm: 0.1646 0.5723 0.3825  2 P 2.79-2.82
Sm: 0.2385 0.9585 0.5588  1 P 2.85
Sm: 0.2976 0.4411 0.8835  3 P 2.80-2.83
Sm: 0.4277 0.8354 0.1175  2 P 2.79-2.82
Sm: 0.4411 0.2976 0.3835  3 P 2.80-2.83
Sm: 0.5589 0.7024 0.6165  3 P 2.80-2.83
Sm: 0.5723 0.1646 0.8825  2 P 2.79-2.82
Sm: 0.7024 0.5589 0.1165  3 P 2.80-2.83
Sm: 0.7615 0.0415 0.4412  1 P 2.85
Sm: 0.8354 0.4277 0.6175  2 P 2.79-2.82
Sm: 0.9585 0.2385 0.0588  1 P 2.85
Bi: 0.0889 0.2465 0.5242  7 Sm 3.25-3.54
Bi: 0.2465 0.0889 0.0242  7 Sm 3.25-3.54
Bi: 0.7535 0.9111 0.9758  7 Sm 3.25-3.54
Bi: 0.9111 0.7535 0.4758  7 Sm 3.25-3.54
P: 0.2871 0.7129 0.7500  6 Sm 2.82-2.85
P: 0.4334 0.5666 0.2500  6 Sm 2.79-2.80
P: 0.5666 0.4334 0.7500  6 Sm 2.79-2.80
P: 0.7129 0.2871 0.2500  6 Sm 2.82-2.85

N(E_F)   0.709 states/eV per atom
Energy   -5.634 eV/atom
Formation energy   -0.944 eV per atom

***

Which value of energy does entry 3 give? -6.911 eV/atom

***

Copy entry 1 word for word.
DFT (PBE-GGA) results for a relaxed structure of Y4BiPSe2.

Unit cell a=7.1791 b=4.1588 c=7.3374 alpha=90.00 beta=109.38 gamma=90.00
Last column: nearest neighbours and their distance in Å.
Positions (direct):
Y: 0.2389 0.0000 0.2267  2 P 2.85, 3 Se 2.89-3.06, 1 Bi 3.04
Y: 0.2527 0.5000 0.7752  1 P 2.83, 3 Se 2.87-3.10, 2 Bi 3.04
Y: 0.7473 0.5000 0.2248  1 P 2.83, 3 Se 2.87-3.10, 2 Bi 3.04
Y: 0.7611 0.0000 0.7733  2 P 2.85, 3 Se 2.89-3.06, 1 Bi 3.04
Bi: 0.0000 0.0000 0.5000  6 Y 3.04
P: 0.0000 0.5000 0.0000  6 Y 2.83-2.85
Se: 0.5000 0.0000 0.0000  6 Y 2.87-2.89
Se: 0.5000 0.5000 0.5000  6 Y 3.06-3.10

N(E_F)   0.438 states/eV per atom
Formation energy from raw total energies   -1.511 eV per atom
Energy   -6.776 eV/atom

***

energy of number 2 (Si2BiTeP)? -3.027 eV/atom